DFT (PBE) results for an optimized crystal structure of Ca2YBe.

## Properties
raw total energy = -50.08 eV for the cell shown
total magnetization = 0.0 μB/f.u.
ΔH_f (0 K) = 0.418 eV per atom

Cell: 7.650 7.650 7.650 Å, 90.00 90.00 90.00°
Space group F-43m (No. 216)
Asymmetric unit:
Ca 0.000 0.000 0.000 x4
Ca 0.250 0.250 0.250 x4
Y 0.250 0.250 0.750 x4
Be 0.000 0.000 0.500 x4